A relaxed Rb2CdSiO4 crystal. Source: Alexandria, functional GGA-PBE.

Results
raw formation energy = -190.34 kJ/mol of atoms
symmetry = C222_1 (20)
energy above the lowest structure with this stoichiometry = 0 meV per atom

Cell lengths 8.0622, 8.0622, 16.9788 Å; angles 90.00, 90.00, 92.64 degrees
Element x y z (fractional)
Rb: 0.2638 0.7602 0.1398
Rb: 0.9623 0.9623 0.0000
Rb: 0.2633 0.2500 0.1091
Rb: 0.5465 0.0536 0.2678
Rb: 0.2500 0.2633 0.8909
Rb: 0.7367 0.7500 0.6091
Rb: 0.4429 0.4429 0.5000
Rb: 0.7362 0.2398 0.6398
Rb: 0.7602 0.2638 0.8602
Rb: 0.9464 0.4535 0.2322
Rb: 0.4535 0.9464 0.7678
Rb: 0.5571 0.5571 0.0000
Rb: 0.2398 0.7362 0.3602
Rb: 0.0536 0.5465 0.7322
Rb: 0.7500 0.7367 0.3909
Rb: 0.0377 0.0377 0.5000
Cd: 0.7227 0.2201 0.0947
Cd: 0.2773 0.7799 0.5947
Cd: 0.2201 0.7227 0.9053
Cd: 0.7799 0.2773 0.4053
Cd: 0.7539 0.7816 0.1572
Cd: 0.2184 0.2461 0.3428
Cd: 0.2461 0.2184 0.6572
Cd: 0.7816 0.7539 0.8428
Si: 0.9881 0.5191 0.0085
Si: 0.5191 0.9881 0.9915
Si: 0.5191 0.4809 0.2500
Si: 0.9927 0.0073 0.2500
Si: 0.0119 0.4809 0.5085
Si: 0.4809 0.0119 0.4915
Si: 0.0073 0.9927 0.7500
Si: 0.4809 0.5191 0.7500
O: 0.4471 0.3149 0.7384
O: 0.1955 0.0472 0.2432
O: 0.6182 0.4200 0.3296
O: 0.6851 0.5529 0.7616
O: 0.4142 0.0676 0.5807
O: 0.1945 0.5377 0.0086
O: 0.1091 0.9339 0.6701
O: 0.5529 0.6851 0.2384
O: 0.4200 0.6182 0.6704
O: 0.0676 0.6800 0.5193
O: 0.4622 0.8055 0.4914
O: 0.9106 0.6336 0.0788
O: 0.0894 0.3664 0.5788
O: 0.6336 0.9106 0.9212
O: 0.8055 0.4622 0.5086
O: 0.8909 0.0661 0.1701
O: 0.9339 0.1091 0.3299
O: 0.0661 0.8909 0.8299
O: 0.9528 0.8045 0.2568
O: 0.5858 0.9324 0.0807
O: 0.3664 0.0894 0.4212
O: 0.5377 0.1945 0.9914
O: 0.3149 0.4471 0.2616
O: 0.5800 0.3818 0.1704
O: 0.9324 0.5858 0.9193
O: 0.9324 0.3200 0.0193
O: 0.0472 0.1955 0.7568
O: 0.0676 0.4142 0.4193
O: 0.3818 0.5800 0.8296
O: 0.8045 0.9528 0.7432
O: 0.6800 0.0676 0.4807
O: 0.3200 0.9324 0.9807